Compound: SrAgSe
Source: the Alexandria database
Functional: GGA-PBEsol
Structure: optimized geometry

Calculated values
Raw formation energy ... -0.545 eV per atom
D(E_F) ... 0.39 states/eV per atom
Spin magnetization ... 0.000 μB/f.u.

Cell: 4.9818 4.9818 4.9818 Å, 60.00 60.00 60.00°
Closest atoms and distances in Å follow each position.
Positions (direct):
Se 0.5000 0.5000 0.5000  4 Sr 3.05
Sr 0.7500 0.7500 0.7500  4 Ag 3.05, 4 Se 3.05
Ag 0.0000 0.0000 0.0000  4 Sr 3.05